Entry 1:
The following is a DFT calculation (PBE-GGA) of a geometry-optimized CaZnSiBr2 structure.

Summary:
- Energy relative to the elements, uncorrected: -0.041 eV/atom

```
CaZnSiBr2
1.0
5.509 0.000 0.000
0.000 5.509 0.000
0.000 0.000 6.533
Ca Zn Si Br
1 1 1 2
Direct
0.000 0.000 0.000
0.000 0.000 0.500
0.500 0.500 0.500
0.000 0.500 0.000
0.500 0.000 0.000
```

Entry 2:
The following is a DFT calculation (PBE-GGA) of a geometry-optimized Pr6DyTm12 structure.

Summary:
- Energy of formation from the pure elements: 0.496 eV per atom

```
Pr6DyTm12
1.0
6.767 3.907 4.128
-6.767 3.907 4.128
0.000 -7.814 4.128
Pr Dy Tm
6 1 12
Direct
0.237 0.719 0.719
0.281 0.281 0.763
0.281 0.763 0.281
0.719 0.237 0.719
0.719 0.719 0.237
0.763 0.281 0.281
0.500 0.500 0.500
0.000 0.384 0.616
0.000 0.616 0.384
0.048 0.048 0.334
0.048 0.334 0.048
0.334 0.048 0.048
0.384 0.000 0.616
0.384 0.616 0.000
0.616 0.000 0.384
0.616 0.384 0.000
0.666 0.952 0.952
0.952 0.666 0.952
0.952 0.952 0.666
```

Entry 3:
The following is a DFT calculation (PBE-GGA) of a geometry-optimized PmAl4NiPd2 structure.

Summary:
- Energy of formation from the pure elements: -0.713 eV per atom

```
PmAl4NiPd2
1.0
2.117 1.222 8.890
-2.117 1.222 8.890
0.000 -2.445 8.890
Pm Al Ni Pd
1 4 1 2
Direct
0.000 0.000 0.000
0.136 0.136 0.136
0.407 0.407 0.407
0.593 0.593 0.593
0.864 0.864 0.864
0.500 0.500 0.500
0.235 0.235 0.235
0.765 0.765 0.765
```

Entry 4:
The following is a DFT calculation (PBE-GGA) of a geometry-optimized CaLa3Cd2 structure.

Summary:
- Energy of formation from the pure elements: -0.218 eV per atom

```
CaLa3Cd2
1.0
5.528 0.000 0.000
0.000 9.991 0.000
0.000 0.000 7.087
Ca La Cd
2 6 4
Direct
0.000 0.037 0.000
0.000 0.963 0.500
0.000 0.329 0.677
0.000 0.671 0.177
0.500 0.176 0.290
0.500 0.451 0.968
0.500 0.549 0.468
0.500 0.824 0.790
0.000 0.345 0.209
0.000 0.655 0.709
0.500 0.147 0.759
0.500 0.853 0.259
```

Entry 5:
The following is a DFT calculation (PBE-GGA) of a geometry-optimized ReSbTe2I structure.

Summary:
- Energy relative to the elements, uncorrected: 2.023 eV/atom

```
ReSbTe2I
1.0
5.723 0.000 0.000
0.000 5.723 0.000
0.000 0.000 5.904
Re Sb Te I
1 1 2 1
Direct
0.000 0.000 0.000
0.500 0.500 0.000
0.000 0.500 0.500
0.500 0.000 0.500
0.500 0.500 0.500
```

Entry 6:
The following is a DFT calculation (PBE-GGA) of a geometry-optimized CdOF structure.

Summary:
- Energy relative to the elements, uncorrected: -1.132 eV/atom

```
CdOF
1.0
-1.701 1.892 6.687
1.701 -1.892 6.687
1.701 1.892 -6.687
Cd O F
2 2 2
Direct
0.141 0.141 0.000
0.859 0.859 0.000
0.315 0.000 0.315
0.685 0.000 0.685
0.309 0.309 0.000
0.691 0.691 0.000
```

Entry 7:
The following is a DFT calculation (PBE-GGA) of a geometry-optimized BaZnI4 structure.

Summary:
- Energy relative to the elements, uncorrected: -1.163 eV/atom

```
BaZnI4
1.0
7.141 0.000 0.000
0.000 11.189 0.000
-1.510 0.000 6.986
Ba Zn I
2 2 8
Direct
0.114 0.250 0.120
0.886 0.750 0.880
0.394 0.750 0.387
0.606 0.250 0.613
0.209 0.565 0.200
0.209 0.935 0.200
0.245 0.250 0.635
0.370 0.750 0.747
0.630 0.250 0.253
0.755 0.750 0.365
0.791 0.065 0.800
0.791 0.435 0.800
```

Entry 8:
The following is a DFT calculation (PBE-GGA) of a geometry-optimized LuCrS2 structure.

Summary:
- Energy relative to the elements, uncorrected: -0.750 eV/atom

```
LuCrS2
1.0
1.791 1.034 7.808
-1.791 1.034 7.808
0.000 -2.068 7.808
Lu Cr S
1 1 2
Direct
0.000 0.000 0.000
0.500 0.500 0.500
0.112 0.112 0.112
0.888 0.888 0.888
```